Material: Pa2V4O9
Method: DFT, PBE with a Hubbard U
State: optimized geometry

Calculated values
Total DFT energy (no corrections): -8.76 eV per atom
Space group: No. 165

Cell: 5.4540 5.4541 15.2169 Å, 90.00 90.00 60.00°
Last column: magnetic moment on the atom in μB.
Sites, in units of the cell vectors:
V: 0.3333 0.3334 0.4865  2.64
V: 0.6669 0.6666 0.8193  2.61
V: 0.6667 0.6666 0.5135  2.64
V: 0.3334 0.3333 0.9865  2.64
V: 0.3331 0.3334 0.1807  2.61
V: 0.6666 0.6667 0.0135  2.64
V: 0.6664 0.6668 0.3193  2.61
V: 0.3336 0.3332 0.6807  2.61
O: 0.0313 0.6274 0.5829  -0.02
O: 0.2955 0.0001 0.2500  -0.01
O: 0.9687 0.3726 0.4171  -0.02
O: 0.9689 0.6587 0.9172  -0.02
O: 0.3416 0.0311 0.5829  -0.02
O: 0.9997 0.7043 0.2500  -0.01
O: 0.6588 0.3725 0.9171  -0.02
O: 0.6277 0.3411 0.5828  -0.02
O: 0.0003 0.2957 0.7500  -0.01
O: 0.2961 0.7041 0.7500  -0.01
O: 0.6584 0.9689 0.4171  -0.02
O: 0.3727 0.9688 0.9171  -0.02
O: 0.0311 0.3413 0.0828  -0.02
O: 0.6273 0.0312 0.0829  -0.02
O: 0.7039 0.2959 0.2500  -0.01
O: 0.3412 0.6275 0.0829  -0.02
O: 0.7045 0.9999 0.7500  -0.01
O: 0.3723 0.6589 0.4172  -0.02
Pa: 0.0002 0.0000 0.8588  0.32
Pa: 0.0003 0.9999 0.6412  0.32
Pa: 0.9998 0.0000 0.1412  0.32
Pa: 0.9997 0.0001 0.3588  0.32